No. 1
Computed, not measured: an optimized crystal structure of In2MoRh at the PBE level of DFT.

Calculated values
Its energy above the lowest structure with this stoichiometry is 0.18 eV per formula unit. The value obtained for the formation energy is 0.0910 eV/atom. For the energy, the calculation gives -5.8239 eV/atom.

Geometry as CIF:
```
data_In2MoRh
_chemical_formula_sum 'In2 Mo1 Rh1'
_cell_length_a 3.061
_cell_length_b 3.392
_cell_length_c 6.801
_cell_angle_alpha 90.00
_cell_angle_beta 90.00
_cell_angle_gamma 90.00
_symmetry_space_group_name_H-M 'P m m m'
_symmetry_Int_Tables_number 47
loop_
_symmetry_equiv_pos_as_xyz
'x,y,z'
'-x,-y,-z'
'-x,-y,z'
'x,y,-z'
'x,-y,-z'
'-x,y,z'
'-x,y,-z'
'x,-y,z'
loop_
_atom_site_label
_atom_site_type_symbol
_atom_site_fract_x
_atom_site_fract_y
_atom_site_fract_z
In1 In 0.000 0.000 0.236
Mo1 Mo 0.500 0.500 0.500
Rh1 Rh 0.500 0.500 0.000
```

No. 2
Computed, not measured: an optimized crystal structure of TlCdHg2Rh at the PBE level of DFT.

Calculated values
The value obtained for the formation energy is 0.1093 eV/atom. For the energy, the calculation gives -2.1379 eV/atom.

Geometry as CIF:
```
data_TlCdHg2Rh
_chemical_formula_sum 'Tl1 Cd1 Hg2 Rh1'
_cell_length_a 5.275
_cell_length_b 5.275
_cell_length_c 5.211
_cell_angle_alpha 90.00
_cell_angle_beta 90.00
_cell_angle_gamma 90.00
_symmetry_space_group_name_H-M 'P 4/m m m'
_symmetry_Int_Tables_number 123
_symmetry_space_group_name_Hall '-P 4 2'
loop_
_atom_site_label
_atom_site_type_symbol
_atom_site_fract_x
_atom_site_fract_y
_atom_site_fract_z
Tl1 Tl 0.000 0.000 0.000
Cd1 Cd 0.500 0.500 0.000
Hg1 Hg 0.000 0.500 0.500
Rh1 Rh 0.500 0.500 0.500
```

No. 3
Computed, not measured: an optimized crystal structure of Ac4TlSnHg2 at the PBE level of DFT.

Calculated values
The value obtained for the formation energy is -0.4887 eV/atom. For the energy, the calculation gives -3.4145 eV/atom.

Geometry as CIF:
```
data_Ac4TlSnHg2
_chemical_formula_sum 'Ac12 Tl3 Sn3 Hg6'
_cell_length_a 5.7800
_cell_length_b 5.7800
_cell_length_c 28.3188
_cell_angle_alpha 90.00
_cell_angle_beta 90.00
_cell_angle_gamma 120.00
_symmetry_space_group_name_H-M 'R -3 m'
_symmetry_Int_Tables_number 166
_symmetry_space_group_name_Hall '-R 3 2"'
loop_
_atom_site_label
_atom_site_type_symbol
_atom_site_fract_x
_atom_site_fract_y
_atom_site_fract_z
Ac1 Ac 0.0000 0.0000 0.1230
Ac2 Ac 0.0000 0.0000 0.3733
Tl1 Tl 0.0000 0.0000 0.5000
Sn1 Sn 0.0000 0.0000 0.0000
Hg1 Hg 0.0000 0.0000 0.2456
```

No. 4
Computed, not measured: an optimized crystal structure of Li3Cd2Ag2 at the PBE level of DFT.

Calculated values
The value obtained for the formation energy is -0.1897 eV/atom. For the energy, the calculation gives -2.0860 eV/atom.

Geometry as CIF:
```
data_Li3Cd2Ag2
_chemical_formula_sum 'Li6 Cd4 Ag4'
_cell_length_a 9.237
_cell_length_b 4.267
_cell_length_c 6.500
_cell_angle_alpha 90.00
_cell_angle_beta 99.10
_cell_angle_gamma 90.00
_symmetry_space_group_name_H-M 'C 1 2/m 1'
_symmetry_Int_Tables_number 12
loop_
_symmetry_equiv_pos_as_xyz
'x,y,z'
'-x,-y,-z'
'-x,y,-z'
'x,-y,z'
'x+1/2,y+1/2,z'
'-x+1/2,-y+1/2,-z'
'-x+1/2,y+1/2,-z'
'x+1/2,-y+1/2,z'
loop_
_atom_site_label
_atom_site_type_symbol
_atom_site_fract_x
_atom_site_fract_y
_atom_site_fract_z
Li1 Li 0.000 0.000 0.000
Li2 Li 0.210 0.500 0.164
Cd1 Cd 0.082 0.500 0.730
Ag1 Ag 0.139 0.000 0.420
```

No. 5
Computed, not measured: an optimized crystal structure of P2Au at the PBE level of DFT.

Calculated values
The value obtained for the formation energy is 0.4599 eV/atom. For the energy, the calculation gives -4.2392 eV/atom.

Geometry as CIF:
```
data_P2Au
_chemical_formula_sum 'P8 Au4'
_cell_length_a 3.203
_cell_length_b 16.745
_cell_length_c 3.790
_cell_angle_alpha 90.00
_cell_angle_beta 90.00
_cell_angle_gamma 90.00
_symmetry_space_group_name_H-M 'C m c m'
_symmetry_Int_Tables_number 63
_symmetry_space_group_name_Hall '-C 2c 2'
loop_
_atom_site_label
_atom_site_type_symbol
_atom_site_fract_x
_atom_site_fract_y
_atom_site_fract_z
P1 P 0.000 0.047 0.250
P2 P 0.000 0.410 0.250
Au1 Au 0.000 0.206 0.750
```

No. 6
Computed, not measured: an optimized crystal structure of CaMg2Au at the PBE level of DFT.

Calculated values
The value obtained for the formation energy is -0.3558 eV/atom. For the energy, the calculation gives -2.4728 eV/atom.

Geometry as CIF:
```
data_CaMg2Au
_chemical_formula_sum 'Ca1 Mg2 Au1'
_cell_length_a 4.036
_cell_length_b 4.193
_cell_length_c 6.266
_cell_angle_alpha 90.00
_cell_angle_beta 108.21
_cell_angle_gamma 90.00
_symmetry_space_group_name_H-M 'P 1 m 1'
_symmetry_Int_Tables_number 6
loop_
_symmetry_equiv_pos_as_xyz
'x,y,z'
'x,-y,z'
loop_
_atom_site_label
_atom_site_type_symbol
_atom_site_fract_x
_atom_site_fract_y
_atom_site_fract_z
Ca1 Ca 0.000 0.000 0.000
Mg1 Mg 0.277 0.000 0.551
Mg2 Mg 0.677 0.500 0.350
Au1 Au 0.426 0.500 0.847
```

No. 7
Computed, not measured: an optimized crystal structure of Ho3Tm4Ag4 at the PBE level of DFT.

Calculated values
The value obtained for the formation energy is -0.1124 eV/atom. For the energy, the calculation gives -4.0238 eV/atom.

Geometry as CIF:
```
data_Ho3Tm4Ag4
_chemical_formula_sum 'Ho6 Tm8 Ag8'
_cell_length_a 4.973
_cell_length_b 7.447
_cell_length_c 15.618
_cell_angle_alpha 90.00
_cell_angle_beta 90.00
_cell_angle_gamma 90.00
_symmetry_space_group_name_H-M 'I m m m'
_symmetry_Int_Tables_number 71
_symmetry_space_group_name_Hall '-I 2 2'
loop_
_atom_site_label
_atom_site_type_symbol
_atom_site_fract_x
_atom_site_fract_y
_atom_site_fract_z
Ho1 Ho 0.000 0.000 0.000
Ho2 Ho 0.000 0.500 0.106
Tm1 Tm 0.000 0.279 0.324
Ag1 Ag 0.000 0.000 0.197
Ag2 Ag 0.000 0.188 0.500
```

No. 8
Computed, not measured: an optimized crystal structure of CoSbTe2Pb at the PBE level of DFT.

Calculated values
Its energy above the lowest structure with this stoichiometry is 5.77 eV per formula unit. As for the uncorrected formation energy: 1.3473 eV per atom. For the energy, the calculation gives -2.8967 eV/atom.

Geometry as CIF:
```
data_CoSbTe2Pb
_chemical_formula_sum 'Co1 Sb1 Te2 Pb1'
_cell_length_a 5.820
_cell_length_b 5.820
_cell_length_c 5.804
_cell_angle_alpha 90.00
_cell_angle_beta 90.00
_cell_angle_gamma 90.00
_symmetry_space_group_name_H-M 'P 4/m m m'
_symmetry_Int_Tables_number 123
_symmetry_space_group_name_Hall '-P 4 2'
loop_
_atom_site_label
_atom_site_type_symbol
_atom_site_fract_x
_atom_site_fract_y
_atom_site_fract_z
Co1 Co 0.000 0.000 0.000
Sb1 Sb 0.500 0.500 0.000
Te1 Te 0.000 0.500 0.500
Pb1 Pb 0.500 0.500 0.500
```